# Mo2PtBr, relaxed, DFT PBE
# energy relative to the lowest polymorph listed for this composition = 0.0 meV per atom
# total moment = 0.00 μB/f.u.
# energy = -7.06 eV per atom
data_Mo2PtBr
_chemical_formula_sum 'Mo2 Pt1 Br1'
_cell_length_a 2.921
_cell_length_b 2.921
_cell_length_c 8.601
_cell_angle_alpha 90.00
_cell_angle_beta 90.00
_cell_angle_gamma 90.00
_space_group_name_H-M_alt 'P 4 m m'
_space_group_IT_number 99
_space_group_name_Hall 'P 4 -2'
loop_
_atom_site_label
_atom_site_type_symbol
_atom_site_fract_x
_atom_site_fract_y
_atom_site_fract_z
_atom_site_occupancy
Mo1 Mo 0.000 0.000 0.000 1
Mo2 Mo 0.500 0.500 0.230 1
Pt1 Pt 0.000 0.000 0.436 1
Br1 Br 0.500 0.500 0.797 1